A geometry-optimized Ba5La2Cl16 structure, computed with PBE.

Lattice parameters (Å, degrees): 9.6112 9.6112 19.1107 90.00 90.00 118.60
Positions (direct):
Cl1 0.9399 0.2810 0.7884
Cl2 0.7810 0.4399 0.2884
Cl3 0.8317 0.5265 0.5065
Cl4 0.0265 0.3317 0.0065
Cl5 0.3532 0.2609 0.3404
Cl6 0.2609 0.3532 0.6596
Cl7 0.7609 0.8532 0.8404
Cl8 0.8532 0.7609 0.1596
Cl9 0.9735 0.6683 0.0065
Cl10 0.1683 0.4735 0.5065
Cl11 0.0601 0.7190 0.7884
Cl12 0.2190 0.5601 0.2884
Cl13 0.6303 0.3303 0.1108
Cl14 0.1303 0.8303 0.3892
Cl15 0.3303 0.6303 0.8892
Cl16 0.8303 0.1303 0.6108
Cl17 0.6697 0.3697 0.8892
Cl18 0.3697 0.6697 0.1108
Cl19 0.8697 0.1697 0.3892
Cl20 0.1697 0.8697 0.6108
Cl21 0.4399 0.7810 0.7116
Cl22 0.2810 0.9399 0.2116
Cl23 0.5265 0.8317 0.4935
Cl24 0.3317 0.0265 0.9935
Cl25 0.7391 0.6468 0.6596
Cl26 0.6468 0.7391 0.3404
Cl27 0.1468 0.2391 0.1596
Cl28 0.2391 0.1468 0.8404
Cl29 0.4735 0.1683 0.4935
Cl30 0.6683 0.9735 0.9935
Cl31 0.7190 0.0601 0.2116
Cl32 0.5601 0.2190 0.7116
Ba1 0.0000 0.5000 0.1496
Ba2 0.0000 0.5000 0.6496
Ba3 0.5000 0.5000 0.2165
Ba4 0.5000 0.5000 0.7835
Ba5 0.0000 0.0000 0.2835
Ba6 0.0000 0.0000 0.0000
Ba7 0.5000 0.5000 0.5000
Ba8 0.0000 0.0000 0.7165
Ba9 0.5000 0.0000 0.8504
Ba10 0.5000 0.0000 0.3504
La1 0.0000 0.5000 0.8943
La2 0.0000 0.5000 0.3943
La3 0.5000 0.0000 0.1057
La4 0.5000 0.0000 0.6057

Summary:
Its crystal system is orthorhombic. Its uncorrected formation energy is -2.4400 eV per atom.